a | ## ZrInSb2I (GGA-PBEsol)

Data for an optimized crystal structure of ZrInSb2I.

Lattice parameters (Å, degrees): 5.4138 5.4138 5.5813 90.00 90.00 90.00
Each line ends with the local moment (μB).
Positions (direct):
I 0.0000 0.0000 0.5000  -0.05
Sb 0.0000 0.5000 0.0000  -0.06
Sb 0.5000 0.0000 0.0000  -0.06
Zr 0.5000 0.5000 0.5000  0.84
In 0.0000 0.0000 0.0000  0.01

- Volume: 32.7 Å³/atom
- Total magnetic moment: 0.199 μB per atom



b | ## ZrInSb2I (GGA-PBEsol)

Data for an optimized crystal structure of ZrInSb2I.

Lattice parameters (Å, degrees): 5.5058 5.5058 5.7205 90.00 90.00 90.00
Positions (direct):
I 0.0000 0.0000 0.5000
Sb 0.0000 0.5000 0.0000
Sb 0.5000 0.0000 0.0000
Zr 0.0000 0.0000 0.0000
In 0.5000 0.5000 0.5000

- Volume: 34.7 Å³/atom
- Total magnetic moment: 0.000 μB per atom



Which of them is least stable? Easy: a.



a | ## In2Te2I (GGA-PBEsol)

Data for an optimized crystal structure of In2Te2I.

Lattice parameters (Å, degrees): 5.2828 5.2828 6.6284 113.48 113.48 90.00
Positions (direct):
I 0.0000 0.0000 0.0000
Te 0.2500 0.7500 0.5000
Te 0.7500 0.2500 0.5000
In 0.3738 0.3738 0.7476
In 0.6262 0.6262 0.2524

- Volume: 30.6 Å³/atom
- Total magnetic moment: 0.000 μB per atom



b | ## In2Te2I (GGA-PBEsol)

Data for an optimized crystal structure of In2Te2I.

Lattice parameters (Å, degrees): 5.0986 5.0986 7.3119 110.40 110.40 90.00
Positions (direct):
I 0.0000 0.0000 0.0000
Te 0.3630 0.3630 0.7261
Te 0.6370 0.6370 0.2739
In 0.2500 0.7500 0.5000
In 0.7500 0.2500 0.5000

- Volume: 33.1 Å³/atom
- Total magnetic moment: 0.000 μB per atom



Which of them is least stable? Easy: a.



a | ## KLaSb2I (GGA-PBEsol)

Data for an optimized crystal structure of KLaSb2I.

Lattice parameters (Å, degrees): 5.5966 5.5966 5.8097 90.00 90.00 90.00
Positions (direct):
I 0.0000 0.0000 0.5000
Sb 0.0000 0.5000 0.0000
Sb 0.5000 0.0000 0.0000
K 0.0000 0.0000 0.0000
La 0.5000 0.5000 0.5000

- Volume: 36.4 Å³/atom
- Total magnetic moment: 0.002 μB per atom



b | ## KLaSb2I (GGA-PBEsol)

Data for an optimized crystal structure of KLaSb2I.

Lattice parameters (Å, degrees): 6.0297 6.0297 6.2817 90.00 90.00 90.00
Positions (direct):
I 0.0000 0.0000 0.5000
Sb 0.0000 0.5000 0.0000
Sb 0.5000 0.0000 0.0000
K 0.5000 0.5000 0.5000
La 0.0000 0.0000 0.0000

- Volume: 45.7 Å³/atom
- Total magnetic moment: 0.001 μB per atom



Which of them is least stable? Easy: a.